The following is a GGA+U calculation of a geometry-optimized K3Li2MnF9 structure, from Alexandria via LeMat-Bulk.

POSCAR file:
```
K3Li2MnF9
1.0
5.8064 0.0000 0.0000
-2.9032 5.0285 0.0000
0.0000 0.0000 7.2857
K Li Mn F
3 2 1 9
Direct
0.0000 0.0000 0.0000
0.3333 0.6667 0.7002
0.6667 0.3333 0.2998
0.3333 0.6667 0.1095
0.6667 0.3333 0.8905
0.0000 0.0000 0.5000
0.0000 0.5000 0.0000
0.1505 0.3010 0.3541
0.1505 0.8495 0.3541
0.3010 0.1505 0.6459
0.5000 0.0000 0.0000
0.5000 0.5000 0.0000
0.6990 0.8495 0.3541
0.8495 0.1505 0.6459
0.8495 0.6990 0.6459
```

Computed properties:
ρ: 2.8 g/cm3
magnetic moment: 3.0 μB per cell
VASP energy: -71.856 eV/cell